# CaPbBr2 (SCAN, PBEsol geometry)
data_CaPbBr2
_chemical_formula_sum 'Ca2 Pb2 Br4'
_cell_length_a 3.6657
_cell_length_b 4.8998
_cell_length_c 12.7170
_cell_angle_alpha 90.00
_cell_angle_beta 90.00
_cell_angle_gamma 90.00
_space_group_name_H-M_alt 'I m m 2'
_space_group_IT_number 44
loop_
_space_group_symop_operation_xyz
'x,y,z'
'-x,-y,z'
'-x,y,z'
'x,-y,z'
'x+1/2,y+1/2,z+1/2'
'-x+1/2,-y+1/2,z+1/2'
'-x+1/2,y+1/2,z+1/2'
'x+1/2,-y+1/2,z+1/2'
loop_
_atom_site_label
_atom_site_fract_x
_atom_site_fract_y
_atom_site_fract_z
Ca1 0.0000 0.0000 0.0000
Pb1 0.0000 0.5000 0.7429
Br1 0.0000 0.0000 0.5451
Br2 0.0000 0.5000 0.3227
# VASP energy (eV/atom): -32.22
# Energy relative to the elements, uncorrected (meV/atom): -1129